CdHgIr2: optimized geometry, PBE-GGA.

Properties
Magnetic moment = 0.00 μB/atom
N(E_F) = 0.5425 states/eV/atom
SG = C2/m (12)

Lattice parameters (Å, degrees): 4.9430 4.9430 5.0381 99.80 99.80 34.42
Fractional positions:
Cd (0.0000, 0.0000, 0.0000)
Hg (0.5000, 0.5000, 0.5000)
Ir (0.2514, 0.2514, 0.7527)
Ir (0.7486, 0.7486, 0.2473)

***

CdHgIr: optimized geometry, PBE-GGA.

Properties
Distance to the lowest polymorph of the same formula = 0.071 eV/atom
Magnetic moment = 0.00 μB/atom
N(E_F) = 0.5245 states/eV/atom
SG = Pm (6)

Lattice parameters (Å, degrees): 4.7421 2.9127 8.9436 90.00 99.76 90.00
Fractional positions:
Cd (0.0000, 0.0000, 0.0000)
Cd (0.1690, 0.5000, 0.4257)
Hg (0.5866, 0.0000, 0.2380)
Hg (0.7569, 0.5000, 0.6640)
Ir (0.2693, 0.0000, 0.7105)
Ir (0.4834, 0.5000, 0.9496)

***

| no. | formation energy (eV per atom) |
| --- | --- |
| 1 | 0.364 |
| 2 | 0.191 |